The following is a SCAN calculation of a crystal of CrAu3Se relaxed with PBEsol, from the Alexandria database.

abc: 4.808 4.808 4.808
angles: 90.00 90.00 90.00
Space group Pm-3m (No. 221)
Inequivalent atoms, fractional coordinates:
Cr1 0.000 0.000 0.000 [1 per cell]
Au1 0.000 0.000 0.500 [3 per cell]
Se1 0.500 0.500 0.500 [1 per cell]

Summary:
Magnetization   4.636 μB/cell
Formation energy from raw total energies   0.983 eV per atom